No. 1
The following is a PBE calculation of an optimized crystal structure of Ac2MgZn4Ag3, from Alexandria.

Cell and atoms, written as CIF:
```
data_Ac2MgZn4Ag3
_chemical_formula_sum 'Ac2 Mg1 Zn4 Ag3'
_symmetry_space_group_name_H-M 'P 1'
_symmetry_Int_Tables_number 1
_cell_length_a 4.367
_cell_length_b 4.367
_cell_length_c 12.023
_cell_angle_alpha 90.00
_cell_angle_beta 90.00
_cell_angle_gamma 90.00
loop_
_symmetry_equiv_pos_as_xyz
'x,y,z'
loop_
_atom_site_label
_atom_site_fract_x
_atom_site_fract_y
_atom_site_fract_z
Ac1 0.500 0.000 0.242
Ac2 0.000 0.500 0.758
Mg1 0.500 0.500 0.500
Zn1 0.500 0.500 0.000
Zn2 0.000 0.000 0.000
Zn3 0.500 0.000 0.643
Zn4 0.000 0.500 0.357
Ag1 0.000 0.000 0.500
Ag2 0.500 0.000 0.867
Ag3 0.000 0.500 0.133
```

## Properties
Raw total energy, eV for the cell shown: -25.96
Energy of formation, meV per atom: -250


No. 2
The following is a PBE calculation of an optimized crystal structure of Ac2MnAg, from Alexandria.

Cell and atoms, written as CIF:
```
data_Ac2MnAg
_chemical_formula_sum 'Ac2 Mn1 Ag1'
_symmetry_space_group_name_H-M 'P 1'
_symmetry_Int_Tables_number 1
_cell_length_a 3.920
_cell_length_b 3.920
_cell_length_c 7.913
_cell_angle_alpha 90.00
_cell_angle_beta 90.00
_cell_angle_gamma 90.00
loop_
_symmetry_equiv_pos_as_xyz
'x,y,z'
loop_
_atom_site_label
_atom_site_fract_x
_atom_site_fract_y
_atom_site_fract_z
Ac1 0.000 0.000 0.755
Ac2 0.000 0.000 0.245
Mn1 0.500 0.500 0.000
Ag1 0.500 0.500 0.500
```

## Properties
Raw total energy, eV for the cell shown: -19.99
Energy of formation, meV per atom: 61